VASP calculation (PBE) on CuSiRu2 after structural relaxation.

The structure in POSCAR format:
```
CuSiRu2
1.0
-2.072 7.735 1.840
-4.222 7.045 0.232
-4.243 6.398 2.928
Ru Cu Si
2 1 1
Cartesian
-5.334 10.722 2.531 Ru
-10.472 21.047 4.969 Ru
-7.903 15.884 3.750 Cu
-2.634 5.295 1.250 Si
```

Summary:
The value obtained for the uncorrected formation energy is -72 meV/atom.